Below is an optimized crystal structure of CsPF2, with properties calculated at the GGA-PBE level.

Cell lengths 7.6939, 7.6939, 7.6939 Å; angles 29.97, 29.97, 29.97 degrees
With the nearest neighbours (Å) after each atom.
Fractional positions:
Cs (0.0000, 0.0000, 0.0000)  6 F 2.90
P (0.5000, 0.5000, 0.5000)  2 F 1.89
F (0.4140, 0.4140, 0.4140)  1 P 1.89
F (0.5860, 0.5860, 0.5860)  1 P 1.89

Values from the calculation:
Size of the total moment: 0.00 μB per cell
Formation energy (no corrections): -1.4768 eV per atom
DOS(E_F): 1.5 states/eV per cell

---

Below is an optimized crystal structure of Tm6MgCo2, with properties calculated at the GGA-PBE level.

Cell lengths 7.5250, 7.5250, 9.5174 Å; angles 111.59, 111.59, 27.23 degrees
With the nearest neighbours (Å) after each atom.
Fractional positions:
Tm (0.0375, 0.0375, 0.3621)  4 Co 2.72-2.83
Tm (0.2545, 0.2545, 0.6763)  2 Co 2.73
Tm (0.3494, 0.3494, 0.1078)  1 Co 2.63
Tm (0.6506, 0.6506, 0.8922)  1 Co 2.63
Tm (0.7455, 0.7455, 0.3237)  2 Co 2.73
Tm (0.9625, 0.9625, 0.6379)  4 Co 2.72-2.83
Mg (0.0000, 0.0000, 0.0000)  6 Tm 3.28, 2 Mg 3.54
Co (0.3986, 0.3986, 0.4033)  7 Tm 2.63-2.83, 1 Co 2.84
Co (0.6014, 0.6014, 0.5967)  7 Tm 2.63-2.83, 1 Co 2.84

Values from the calculation:
Calculated formation energy: -0.87 eV per formula unit
Size of the total moment: 0.00 μB per cell
DOS(E_F): 8.1 states/eV per cell

---

Below is an optimized crystal structure of Rb2AlSeF6, with properties calculated at the GGA-PBE level.

Cell lengths 6.2442, 6.2442, 6.2442 Å; angles 113.69, 113.69, 101.33 degrees
With the nearest neighbours (Å) after each atom.
Fractional positions:
Rb (0.2500, 0.7500, 0.5000)  12 F 3.18-3.42
Rb (0.7500, 0.2500, 0.5000)  12 F 3.18-3.42
Al (0.0000, 0.0000, 0.0000)  6 F 1.79-1.94
Se (0.5000, 0.5000, 0.0000)  2 F 2.02
F (0.1856, 0.1856, 0.3713)  1 Al 1.79
F (0.1856, 0.8144, 0.0000)  1 Al 1.79
F (0.2453, 0.2453, 0.0000)  1 Al 1.94, 1 Se 2.02
F (0.7547, 0.7547, 0.0000)  1 Al 1.94, 1 Se 2.02
F (0.8144, 0.1856, 0.0000)  1 Al 1.79
F (0.8144, 0.8144, 0.6287)  1 Al 1.79

Values from the calculation:
Size of the total moment: 1.00 μB per cell
Formation energy (no corrections): -2.5772 eV per atom
DOS(E_F): 15.9 states/eV per cell

---

Below is an optimized crystal structure of Ba3Tl8In3, with properties calculated at the GGA-PBE level.

Cell lengths 9.9884, 9.9884, 9.9884 Å; angles 150.31, 106.08, 81.62 degrees
With the nearest neighbours (Å) after each atom.
Fractional positions:
Ba (0.0000, 0.0000, 0.0000)  12 Tl 3.78-4.07
Ba (0.3070, 0.3070, 0.0000)  4 In 3.68-3.88, 8 Tl 3.71-3.81
Ba (0.6930, 0.6930, 0.0000)  4 In 3.68-3.88, 8 Tl 3.71-3.81
Tl (0.0208, 0.6515, 0.3693)  4 Tl 3.14-3.23, 1 In 3.17
Tl (0.1381, 0.8539, 0.2842)  3 Tl 3.15-3.23, 3 In 3.40-3.41
Tl (0.2822, 0.6515, 0.6307)  4 Tl 3.14-3.23, 1 In 3.17
Tl (0.4303, 0.1461, 0.2842)  3 Tl 3.15-3.23, 3 In 3.40-3.41
Tl (0.5697, 0.8539, 0.7158)  3 Tl 3.15-3.23, 3 In 3.40-3.41
Tl (0.7178, 0.3485, 0.3693)  4 Tl 3.14-3.23, 1 In 3.17
Tl (0.8619, 0.1461, 0.7158)  3 Tl 3.15-3.23, 3 In 3.40-3.41
Tl (0.9792, 0.3485, 0.6307)  4 Tl 3.14-3.23, 1 In 3.17
In (0.3130, 0.5000, 0.8130)  6 Tl 3.17-3.40, 2 In 3.40
In (0.5000, 0.0000, 0.5000)  4 In 3.40, 4 Tl 3.41
In (0.6870, 0.5000, 0.1870)  6 Tl 3.17-3.40, 2 In 3.40

Values from the calculation:
Calculated formation energy: -3.76 eV per formula unit
Size of the total moment: 0.00 μB per cell
DOS(E_F): 8.0 states/eV per cell

---

Below is an optimized crystal structure of LiTbDy2, with properties calculated at the GGA-PBE level.

Cell lengths 3.6039, 3.6039, 8.8258 Å; angles 90.00, 90.00, 90.00 degrees
With the nearest neighbours (Å) after each atom.
Fractional positions:
Li (0.0000, 0.0000, 0.0000)  8 Dy 3.22
Tb (0.0000, 0.0000, 0.5000)  8 Dy 3.54, 4 Tb 3.60
Dy (0.5000, 0.5000, 0.2222)  4 Li 3.22, 4 Tb 3.54
Dy (0.5000, 0.5000, 0.7778)  4 Li 3.22, 4 Tb 3.54

Values from the calculation:
Calculated formation energy: 0.28 eV per formula unit
Size of the total moment: 0.00 μB per cell
DOS(E_F): 5.1 states/eV per cell

---

Below is an optimized crystal structure of SmEr2Ag6, with properties calculated at the GGA-PBE level.

Cell lengths 8.9011, 8.9011, 5.3103 Å; angles 98.30, 98.30, 75.71 degrees
With the nearest neighbours (Å) after each atom.
Fractional positions:
Sm (0.1254, 0.8746, 0.7500)  10 Ag 3.09-3.21
Sm (0.8746, 0.1254, 0.2500)  10 Ag 3.09-3.21
Er (0.2093, 0.4573, 0.9135)  10 Ag 3.02-3.13
Er (0.4573, 0.2093, 0.4135)  10 Ag 3.02-3.13
Er (0.5427, 0.7907, 0.5865)  10 Ag 3.02-3.13
Er (0.7907, 0.5427, 0.0865)  10 Ag 3.02-3.13
Ag (0.0161, 0.7547, 0.1932)  2 Er 3.02-3.09, 5 Ag 3.05-3.20, 3 Sm 3.09-3.21
Ag (0.0999, 0.3523, 0.3574)  4 Er 3.02-3.13, 5 Ag 3.02-3.20, 1 Sm 3.12
Ag (0.2453, 0.9839, 0.3068)  2 Er 3.02-3.09, 5 Ag 3.05-3.20, 3 Sm 3.09-3.21
Ag (0.3243, 0.5656, 0.4700)  5 Ag 3.02-3.13, 4 Er 3.06-3.09, 1 Sm 3.18
Ag (0.3523, 0.0999, 0.8574)  4 Er 3.02-3.13, 5 Ag 3.02-3.20, 1 Sm 3.12
Ag (0.4344, 0.6757, 0.0300)  5 Ag 3.02-3.13, 4 Er 3.06-3.09, 1 Sm 3.18
Ag (0.5656, 0.3243, 0.9700)  5 Ag 3.02-3.13, 4 Er 3.06-3.09, 1 Sm 3.18
Ag (0.6477, 0.9001, 0.1426)  4 Er 3.02-3.13, 5 Ag 3.02-3.20, 1 Sm 3.12
Ag (0.6757, 0.4344, 0.5300)  5 Ag 3.02-3.13, 4 Er 3.06-3.09, 1 Sm 3.18
Ag (0.7547, 0.0161, 0.6932)  2 Er 3.02-3.09, 5 Ag 3.05-3.20, 3 Sm 3.09-3.21
Ag (0.9001, 0.6477, 0.6426)  4 Er 3.02-3.13, 5 Ag 3.02-3.20, 1 Sm 3.12
Ag (0.9839, 0.2453, 0.8068)  2 Er 3.02-3.09, 5 Ag 3.05-3.20, 3 Sm 3.09-3.21

Values from the calculation:
Calculated formation energy: -1.81 eV per formula unit
Size of the total moment: 0.00 μB per cell
DOS(E_F): 11.5 states/eV per cell